(1)
The following is a DFT calculation (GGA-PBE) of an optimized crystal structure of CeAl2Pd.

Computed properties:
Fermi-level density of states: 26.1 states/eV/cell
Energy of formation: -2.188 eV per formula unit
Total magnetic moment: 0.6 μB/f.u.

abc: 5.6092 9.2422 6.2520
angles: 90.00 90.00 90.00
Closest atoms and distances in Å follow each position.
Space group Cmme (No. 67)
Symmetry-distinct sites (fractional):
Ce 0.0000 0.2500 0.2158 x4  4 Pd 3.02, 8 Al 3.15-3.26
Al 0.0000 0.0934 0.6632 x8  2 Al 2.67-2.89, 2 Pd 2.67
Pd 0.2500 0.0000 0.0000 x4  4 Al 2.67, 2 Pd 2.80

(2)
The following is a DFT calculation (GGA-PBE) of an optimized crystal structure of Tb2Zn3Cu12Ni.

Computed properties:
Fermi-level density of states: 21.9 states/eV/cell
Energy of formation: 2.288 eV per formula unit
Total magnetic moment: 0.0 μB/f.u.

abc: 6.1135 6.1135 26.6852
angles: 90.00 90.00 120.00
Closest atoms and distances in Å follow each position.
Space group R-3m (No. 166, hexagonal axes)
Symmetry-distinct sites (fractional):
Tb 0.0000 0.0000 0.1495 x6  6 Cu 2.98-3.03
Zn 0.0000 0.5000 0.0000 x9  6 Cu 2.40-2.64
Cu 0.0449 0.5224 0.0985 x18  1 Ni 2.37, 4 Cu 2.44-2.65, 1 Zn 2.64
Cu 0.0725 0.5363 0.6160 x18  4 Cu 2.39-2.44, 2 Zn 2.40
Ni 0.0000 0.0000 0.5000 x3  6 Cu 2.37

(3)
The following is a DFT calculation (GGA-PBE) of an optimized crystal structure of BaAgPb2.

Computed properties:
Fermi-level density of states: 6.9 states/eV/cell
Energy of formation: -0.520 eV per formula unit
Total magnetic moment: 0.0 μB/f.u.

abc: 5.1819 5.1819 21.3741
angles: 90.00 90.00 90.00
Closest atoms and distances in Å follow each position.
Space group I-42d (No. 122)
Symmetry-distinct sites (fractional):
Ba 0.0000 0.0000 0.0000 x4  4 Pb 3.45, 4 Ag 3.66
Ag 0.0000 0.0000 0.5000 x4  4 Pb 3.09
Pb 0.1628 0.2500 0.6250 x8  2 Ag 3.09, 2 Pb 3.09, 2 Ba 3.45

(4)
The following is a DFT calculation (GGA-PBE) of an optimized crystal structure of NaLiScAg2.

Computed properties:
Fermi-level density of states: 5.7 states/eV/cell
Energy of formation: 1.971 eV per formula unit
Total magnetic moment: 1.2 μB/f.u.

abc: 4.7845 4.7845 4.9289
angles: 90.00 90.00 90.00
Closest atoms and distances in Å follow each position.
Space group P4/mmm (No. 123)
Symmetry-distinct sites (fractional):
Na 0.0000 0.0000 0.0000 x1  4 Sc 3.38, 8 Ag 3.43
Li 0.5000 0.5000 0.5000 x1  4 Ag 2.39, 2 Sc 2.46
Sc 0.5000 0.5000 0.0000 x1  2 Li 2.46
Ag 0.0000 0.5000 0.5000 x2  2 Li 2.39

Q: The highest total magnetic moment belongs to which entry?
A: NaLiScAg2

Q: Which value of Fermi-level density of states does entry 2 give?
A: 21.9 states/eV/cell

What did the second record say?
The following is a DFT calculation (GGA-PBE) of an optimized crystal structure of Tb2Zn3Cu12Ni.

Computed properties:
Fermi-level density of states: 21.9 states/eV/cell
Energy of formation: 2.288 eV per formula unit
Total magnetic moment: 0.0 μB/f.u.

abc: 6.1135 6.1135 26.6852
angles: 90.00 90.00 120.00
Closest atoms and distances in Å follow each position.
Space group R-3m (No. 166, hexagonal axes)
Symmetry-distinct sites (fractional):
Tb 0.0000 0.0000 0.1495 x6  6 Cu 2.98-3.03
Zn 0.0000 0.5000 0.0000 x9  6 Cu 2.40-2.64
Cu 0.0449 0.5224 0.0985 x18  1 Ni 2.37, 4 Cu 2.44-2.65, 1 Zn 2.64
Cu 0.0725 0.5363 0.6160 x18  4 Cu 2.39-2.44, 2 Zn 2.40
Ni 0.0000 0.0000 0.5000 x3  6 Cu 2.37